1.
First-principles (SCAN) data for a PBEsol-optimized structure of Ti2CF, as listed in the Alexandria database.

a b c (Å): 3.817 3.817 3.817
angles (deg): 60.00 60.00 60.00
Element x y z (fractional)
C1 0.000 0.000 0.000
F1 0.500 0.500 0.500
Ti1 0.250 0.250 0.250
Ti2 0.750 0.750 0.750

The calculation puts the density of states at the Fermi level at 0.51 states/eV/atom. For the uncorrected formation energy, the calculation gives -1.036 eV per atom. The volume is 39.33 Å³ per cell. The space group is Fm-3m (225). The total magnetization comes out at 0.00 μB per cell. As for the total DFT energy (no corrections): -12.461 eV per atom.

=====

2.
First-principles (SCAN) data for a PBEsol-optimized structure of TiC2F, as listed in the Alexandria database.

a b c (Å): 2.889 2.889 8.724
angles (deg): 99.53 99.53 90.00
Element x y z (fractional)
C1 0.625 0.875 0.750
C2 0.125 0.875 0.750
C3 0.125 0.875 0.250
C4 0.125 0.375 0.250
F1 0.500 0.500 0.000
F2 0.750 0.250 0.500
Ti1 0.000 0.000 0.000
Ti2 0.250 0.750 0.500

The calculation puts the density of states at the Fermi level at 0.47 states/eV/atom. For the uncorrected formation energy, the calculation gives -0.187 eV per atom. The volume is 70.80 Å³ per cell. The space group is I4_1/amd (141). The total magnetization comes out at 0.00 μB per cell. As for the total DFT energy (no corrections): -10.130 eV per atom.

=====

3.
First-principles (SCAN) data for a PBEsol-optimized structure of TlCF2, as listed in the Alexandria database.

a b c (Å): 3.158 3.158 7.307
angles (deg): 77.52 77.52 60.00
Element x y z (fractional)
Tl1 0.000 0.000 0.000
C1 0.500 0.500 0.500
F1 0.878 0.878 0.367
F2 0.122 0.122 0.633

The calculation puts the density of states at the Fermi level at 0.27 states/eV/atom. For the uncorrected formation energy, the calculation gives 0.512 eV per atom. The volume is 61.09 Å³ per cell. The space group is R-3m (166). The total magnetization comes out at 0.49 μB per cell. As for the total DFT energy (no corrections): -21.872 eV per atom.